(1)
Density functional theory data (GGA-PBE) for a relaxed structure of HfP2SBr.

a = 4.676 Å, b = 4.676 Å, c = 4.763 Å
α = 90.00°, β = 90.00°, γ = 90.00°
Element x y z (fractional)
Hf 0.000 0.000 0.000
P 0.000 0.500 0.500
P 0.500 0.000 0.500
S 0.500 0.500 0.000
Br 0.500 0.500 0.500

Computed properties:
The crystal system is tetragonal. The size of the total moment is 0.00 μB per formula unit. The formation energy without anion corrections comes out at 1.047 eV per atom. Its space-group type is P4/mmm, No. 123. The calculation puts the density of states at the Fermi level at 0.535 states/eV per atom. The offset from the most stable computed form is 874 meV per atom.

---

(2)
Density functional theory data (GGA-PBE) for a relaxed structure of Dy3Ga6Pd5.

a = 4.313 Å, b = 12.816 Å, c = 9.253 Å
α = 90.00°, β = 90.00°, γ = 90.00°
Element x y z (fractional)
Dy 0.250 0.051 0.249
Dy 0.250 0.449 0.249
Dy 0.250 0.750 0.253
Dy 0.750 0.250 0.747
Dy 0.750 0.551 0.751
Dy 0.750 0.949 0.751
Ga 0.250 0.071 0.593
Ga 0.250 0.250 0.042
Ga 0.250 0.250 0.420
Ga 0.250 0.429 0.593
Ga 0.250 0.598 0.978
Ga 0.250 0.902 0.978
Ga 0.750 0.098 0.022
Ga 0.750 0.402 0.022
Ga 0.750 0.571 0.407
Ga 0.750 0.750 0.580
Ga 0.750 0.750 0.958
Ga 0.750 0.929 0.407
Pd 0.250 0.093 0.868
Pd 0.250 0.407 0.868
Pd 0.250 0.634 0.531
Pd 0.250 0.750 0.790
Pd 0.250 0.866 0.531
Pd 0.750 0.134 0.469
Pd 0.750 0.250 0.210
Pd 0.750 0.366 0.469
Pd 0.750 0.593 0.132
Pd 0.750 0.907 0.132

Computed properties:
The formation energy comes out at -809.9 meV/atom. The crystal system is orthorhombic. The size of the total moment is 0.00 μB per formula unit. Its space-group type is Pmmn, No. 59. The calculation puts the density of states at the Fermi level at 0.493 states/eV per atom.

---

(3)
Density functional theory data (GGA-PBE) for a relaxed structure of Tl2SbW.

a = 3.139 Å, b = 5.619 Å, c = 5.547 Å
α = 90.00°, β = 98.03°, γ = 90.00°
Element x y z (fractional)
Tl 0.218 0.000 0.259
Tl 0.782 0.000 0.741
Sb 0.500 0.500 0.000
W 0.500 0.500 0.500

Computed properties:
The crystal system is monoclinic. The size of the total moment is 0.00 μB per formula unit. The formation energy without anion corrections comes out at 0.905 eV per atom. Its space-group type is P2/m, No. 10. The calculation puts the density of states at the Fermi level at 0.618 states/eV per atom. The offset from the most stable computed form is 414 meV per atom.

---

(4)
Density functional theory data (GGA-PBE) for a relaxed structure of Rb2TaTiO6.

a = 10.249 Å, b = 10.249 Å, c = 10.249 Å
α = 33.85°, β = 33.85°, γ = 33.85°
Element x y z (fractional)
Rb 0.132 0.132 0.132
Rb 0.282 0.282 0.282
Rb 0.718 0.718 0.718
Rb 0.868 0.868 0.868
Ta 0.402 0.402 0.402
Ta 0.598 0.598 0.598
Ti 0.000 0.000 0.000
Ti 0.500 0.500 0.500
O 0.173 0.595 0.595
O 0.203 0.203 0.708
O 0.203 0.708 0.203
O 0.292 0.797 0.797
O 0.405 0.405 0.827
O 0.405 0.827 0.405
O 0.595 0.173 0.595
O 0.595 0.595 0.173
O 0.708 0.203 0.203
O 0.797 0.292 0.797
O 0.797 0.797 0.292
O 0.827 0.405 0.405

Computed properties:
The crystal system is trigonal. The size of the total moment is 1.02 μB per formula unit. The formation energy without anion corrections comes out at -2.358 eV per atom. Its space-group type is R-3m, No. 166. The calculation puts the density of states at the Fermi level at 0.359 states/eV per atom.